1.
15
Lattice="4.350 2.512 7.102 -4.350 2.512 7.102 0.000 -5.023 7.102" Properties=species:S:1:pos:R:3 comment="Tb3SmDy3Te8 (PBE, optimized geometry)" formation_energy_uncorrected_ev_per_atom=-1.380 pbc="T T T"
Tb -2.175 -1.256 7.102
Tb -2.175 1.256 14.203
Tb 0.000 2.512 7.102
Sm 0.000 0.000 10.652
Dy -4.350 0.000 10.652
Dy -2.175 1.256 3.551
Dy 2.175 1.256 3.551
Te -2.258 -1.304 12.485
Te 0.000 -2.608 8.820
Te -2.258 1.304 8.820
Te 0.000 0.000 5.315
Te 0.000 0.000 15.989
Te 2.258 -1.304 12.485
Te 0.000 2.608 12.485
Te 2.258 1.304 8.820


2.
10
Lattice="3.600 -6.134 0.000 3.600 6.134 0.000 0.000 0.000 4.276" Properties=species:S:1:pos:R:3 comment="LiFe2Pd7 (PBE, optimized geometry)" delta_e_f_ev_per_atom=0.36 pbc="T T T"
Li 0.000 0.000 0.000
Fe 3.600 2.473 2.138
Fe 3.600 -2.473 2.138
Pd 1.360 1.415 2.138
Pd 3.600 3.593 0.000
Pd 1.360 -1.415 2.138
Pd 3.600 0.000 2.138
Pd 5.840 1.415 2.138
Pd 3.600 -3.593 0.000
Pd 5.840 -1.415 2.138


3.
4
Lattice="0.000 3.415 3.415 3.415 0.000 3.415 3.415 3.415 0.000" Properties=species:S:1:pos:R:3 comment="YErRh2 (PBE, optimized geometry)" delta_e_f_ev_per_atom=-0.89 e_above_lowest_polymorph_ev_per_atom=0.000 pbc="T T T"
Y 0.000 0.000 0.000
Er 3.415 3.415 3.415
Rh 1.708 1.708 1.708
Rh 5.123 5.123 5.123


4.
4
Lattice="-1.832 1.901 7.158 1.832 -1.901 7.158 1.832 1.901 -7.158" Properties=species:S:1:pos:R:3 comment="SrNiCl2 (PBE, optimized geometry)" formation_energy_uncorrected_ev_per_atom=-0.939 e_above_lowest_polymorph_ev_per_atom=0.290 pbc="T T T"
Sr 0.000 0.000 0.000
Ni 0.000 1.901 4.824
Cl 1.832 0.000 4.872
Cl 0.000 0.000 8.482


5.
4
Lattice="3.279 -1.893 0.000 3.279 1.893 0.000 -2.383 0.000 9.672" Properties=species:S:1:pos:R:3 comment="ZrHgSe2 (PBE, optimized geometry)" formation_energy_uncorrected_ev_per_atom=-0.988 e_above_lowest_polymorph_ev_per_atom=0.003 pbc="T T T"
Zr 0.000 0.000 0.000
Hg -0.200 0.000 4.954
Se 2.187 0.000 1.603
Se 1.990 0.000 8.070


6.
5
Lattice="4.984 0.000 0.000 0.000 4.984 0.000 0.000 0.000 5.698" Properties=species:S:1:pos:R:3 comment="AgSb2TeRu (PBE, optimized geometry)" formation_energy_uncorrected_ev_per_atom=0.496 e_above_lowest_polymorph_ev_per_atom=0.000 pbc="T T T"
Ag 0.000 0.000 0.000
Sb 0.000 2.492 2.849
Sb 2.492 0.000 2.849
Te 2.492 2.492 0.000
Ru 2.492 2.492 2.849


7.
6
Lattice="-2.118 2.118 8.937 2.118 -2.118 8.937 2.118 2.118 -8.937" Properties=species:S:1:pos:R:3 comment="CeSnCl (PBE, optimized geometry)" formation_energy_uncorrected_ev_per_atom=-1.210 e_above_lowest_polymorph_ev_per_atom=0.000 pbc="T T T"
Ce 0.000 0.000 2.473
Ce 0.000 0.000 15.400
Sn 2.118 0.000 0.000
Sn 0.000 2.118 0.000
Cl 0.000 0.000 5.496
Cl 0.000 0.000 12.377


8.
29
Lattice="6.022 -8.233 0.000 6.022 8.233 0.000 -6.014 0.000 8.414" Properties=species:S:1:pos:R:3 comment="SnHg12Pb16 (PBE, optimized geometry)" delta_e_f_ev_per_atom=0.04 pbc="T T T"
Sn 0.000 0.000 0.000
Hg 3.611 6.641 2.893
Hg 1.476 4.854 4.373
Hg 3.061 0.000 1.070
Hg -0.659 1.581 8.079
Hg 7.377 3.175 1.297
Hg 3.006 0.000 4.250
Hg -0.659 -1.581 8.079
Hg 1.476 -4.854 4.373
Hg 5.311 1.624 5.708
Hg 3.611 -6.641 2.893
Hg 5.311 -1.624 5.708
Hg 7.377 -3.175 1.297
Pb -1.376 3.370 5.403
Pb -3.780 0.000 5.637
Pb 4.601 5.096 0.150
Pb 0.830 1.989 2.663
Pb -0.391 0.000 5.177
Pb 2.129 5.587 7.742
Pb 4.224 2.779 2.687
Pb 0.830 -1.989 2.663
Pb 2.043 2.318 6.256
Pb -1.376 -3.370 5.403
Pb 4.224 -2.779 2.687
Pb 2.043 -2.318 6.256
Pb 6.392 0.000 2.739
Pb 4.601 -5.096 0.150
Pb 8.772 0.000 0.184
Pb 2.129 -5.587 7.742


| no. | raw total energy (Ry per atom) |
| --- | --- |
| 1 | -0.3834 |
| 2 | -0.3792 |
| 3 | -0.5380 |
| 4 | -0.2740 |
| 5 | -0.3633 |
| 6 | -0.3092 |
| 7 | -0.3776 |
| 8 | -0.1669 |